Record 1
Material: Cs3DyAs2
Method: DFT, GGA-PBE
State: relaxed

abc: 8.3561 8.3561 8.9375
angles: 93.37 93.37 90.78
Element x y z (fractional)
1 Cs 0.1861 0.8139 0.7500
2 Cs 0.2492 0.3286 0.0169
3 Cs 0.3286 0.2492 0.5169
4 Cs 0.6714 0.7508 0.4831
5 Cs 0.7508 0.6714 0.9831
6 Cs 0.8139 0.1861 0.2500
7 Dy 0.2030 0.7970 0.2500
8 Dy 0.7970 0.2030 0.7500
9 As 0.0602 0.5690 0.3967
10 As 0.4310 0.9398 0.1033
11 As 0.5690 0.0602 0.8967
12 As 0.9398 0.4310 0.6033

Calculated values
- space-group type = C2/c (15)
- final energy (eV/atom) = -3.00

Record 2
Material: CsDy4As3
Method: DFT, GGA-PBE
State: relaxed

abc: 4.8481 4.8481 11.1274
angles: 90.00 90.00 90.00
Element x y z (fractional)
1 Cs 0.0000 0.0000 0.0000
2 Dy 0.0000 0.5000 0.3437
3 Dy 0.0000 0.5000 0.6563
4 Dy 0.5000 0.0000 0.3437
5 Dy 0.5000 0.0000 0.6563
6 As 0.0000 0.0000 0.5000
7 As 0.5000 0.5000 0.2083
8 As 0.5000 0.5000 0.7917

Calculated values
- space-group type = P4/mmm (123)
- final energy (eV/atom) = -4.98